Below is a relaxed LiY2PbSe crystal, with properties calculated at the PBE level.

Cell and atoms, written as CIF:
```
data_LiY2PbSe
_chemical_formula_sum 'Li2 Y4 Pb2 Se2'
_symmetry_space_group_name_H-M 'P 1'
_symmetry_Int_Tables_number 1
_cell_length_a 7.606
_cell_length_b 4.217
_cell_length_c 8.112
_cell_angle_alpha 90.00
_cell_angle_beta 108.08
_cell_angle_gamma 90.00
loop_
_symmetry_equiv_pos_as_xyz
'x,y,z'
loop_
_atom_site_label
_atom_site_type_symbol
_atom_site_fract_x
_atom_site_fract_y
_atom_site_fract_z
Li1 Li 0.042 0.250 0.139
Li2 Li 0.958 0.750 0.861
Y1 Y 0.238 0.750 0.530
Y2 Y 0.381 0.750 0.108
Y3 Y 0.619 0.250 0.892
Y4 Y 0.762 0.250 0.470
Pb1 Pb 0.173 0.250 0.802
Pb2 Pb 0.827 0.750 0.198
Se1 Se 0.353 0.250 0.336
Se2 Se 0.647 0.750 0.664
```

## Properties
The calculation puts the density at 6.32 g/cm³. The total energy is -5.358 eV per atom. The calculated volume is 247.30 Å³ per cell. As for the formation energy from raw total energies: -0.9506 eV per atom. Its space-group type is P2_1/m (11).



Below is a relaxed Ba8Cu2Ir crystal, with properties calculated at the PBE level.

Cell and atoms, written as CIF:
```
data_Ba8Cu2Ir
_chemical_formula_sum 'Ba8 Cu2 Ir1'
_symmetry_space_group_name_H-M 'P 1'
_symmetry_Int_Tables_number 1
_cell_length_a 8.689
_cell_length_b 8.689
_cell_length_c 8.585
_cell_angle_alpha 90.04
_cell_angle_beta 90.04
_cell_angle_gamma 59.18
loop_
_symmetry_equiv_pos_as_xyz
'x,y,z'
loop_
_atom_site_label
_atom_site_type_symbol
_atom_site_fract_x
_atom_site_fract_y
_atom_site_fract_z
Ba1 Ba 0.193 0.193 0.616
Ba2 Ba 0.204 0.718 0.747
Ba3 Ba 0.282 0.796 0.253
Ba4 Ba 0.286 0.286 0.101
Ba5 Ba 0.714 0.714 0.899
Ba6 Ba 0.718 0.204 0.747
Ba7 Ba 0.796 0.282 0.253
Ba8 Ba 0.807 0.807 0.384
Cu1 Cu 0.080 0.080 0.962
Cu2 Cu 0.920 0.920 0.038
Ir1 Ir 0.000 0.000 0.500
```

## Properties
The calculation puts the density at 4.23 g/cm³. The total energy is -2.994 eV per atom. The calculated volume is 556.60 Å³ per cell. For the formation enthalpy at 0 K, the calculation gives -0.046 eV/atom. Its space-group type is C2/m (12).



Below is a relaxed AcLu3 crystal, with properties calculated at the PBE level.

Cell and atoms, written as CIF:
```
data_AcLu3
_chemical_formula_sum 'Ac1 Lu3'
_symmetry_space_group_name_H-M 'P 1'
_symmetry_Int_Tables_number 1
_cell_length_a 6.766
_cell_length_b 6.766
_cell_length_c 6.766
_cell_angle_alpha 148.25
_cell_angle_beta 64.78
_cell_angle_gamma 125.15
loop_
_symmetry_equiv_pos_as_xyz
'x,y,z'
loop_
_atom_site_label
_atom_site_type_symbol
_atom_site_fract_x
_atom_site_fract_y
_atom_site_fract_z
Ac1 Ac 0.000 0.000 0.000
Lu1 Lu 0.403 0.646 0.757
Lu2 Lu 0.491 0.991 0.500
Lu3 Lu 0.889 0.646 0.243
```

## Properties
The calculation puts the density at 9.47 g/cm³. The total energy is -4.348 eV per atom. The calculated volume is 131.84 Å³ per cell. For the formation enthalpy at 0 K, the calculation gives 0.069 eV/atom. Its space-group type is Imm2 (44).